VASP calculation (PBE) on a relaxed BaNiBiPb2 crystal.

The calculation puts the spin magnetization at 0.00 μB/f.u. Its relative energy among the computed polymorphs is 7 meV per atom. Its total energy is -3.9815 eV per atom. For the energy relative to the elements, the calculation gives -0.91 eV/f.u.

The space group is P4/mmm (No. 123) and the conventional cell measures 5.214, 5.214 and 5.709 Å, with angles of 90.00, 90.00 and 90.00 degrees. The asymmetric unit holds Ba at (0.000, 0.000, 0.000), Ni at (0.500, 0.500, 0.500), Bi at (0.500, 0.500, 0.000) and Pb at (0.000, 0.500, 0.500).


VASP calculation (PBE) on a relaxed BaNiBiPb2 crystal.

The calculation puts the spin magnetization at 0.00 μB/f.u. Its relative energy among the computed polymorphs is 0 meV per atom. Its total energy is -3.9882 eV per atom. For the energy relative to the elements, the calculation gives -0.94 eV/f.u.

The space group is P4/mmm (No. 123) and the conventional cell measures 5.215, 5.215 and 5.722 Å, with angles of 90.00, 90.00 and 90.00 degrees. The asymmetric unit holds Ba at (0.000, 0.000, 0.000), Ni at (0.000, 0.000, 0.500), Bi at (0.500, 0.500, 0.000) and Pb at (0.000, 0.500, 0.500).


VASP calculation (PBE) on a relaxed BaNiBi2Pb crystal.

The calculation puts the spin magnetization at 0.00 μB/f.u. Its total energy is -4.0403 eV per atom. For the energy relative to the elements, the calculation gives -1.03 eV/f.u.

The space group is P4/mmm (No. 123) and the conventional cell measures 5.485, 5.485 and 5.168 Å, with angles of 90.00, 90.00 and 90.00 degrees. The asymmetric unit holds Ba at (0.000, 0.000, 0.000), Ni at (0.500, 0.500, 0.500), Bi at (0.000, 0.500, 0.500) and Pb at (0.500, 0.500, 0.000).


VASP calculation (PBE) on a relaxed BaNiBi2S4 crystal.

The calculation puts the spin magnetization at 0.01 μB/f.u. Its total energy is -4.6657 eV per atom. For the raw formation energy, the calculation gives -0.669 eV per atom.

The space group is Cmcm (No. 63) and the conventional cell measures 4.057, 13.661 and 14.063 Å, with angles of 90.00, 90.00 and 90.00 degrees. The asymmetric unit holds Ba at (0.000, 0.106, 0.250), Ni at (0.000, 0.149, 0.750), Bi at (0.000, 0.365, 0.065), S at (0.000, 0.000, 0.000), S at (0.000, 0.269, 0.620) and S at (0.000, 0.432, 0.250).


VASP calculation (PBE) on a relaxed BaZnNi2Bi crystal.

The calculation puts the spin magnetization at 0.00 μB/f.u. Its total energy is -2.4137 eV per atom. For the energy relative to the elements, the calculation gives 6.57 eV/f.u.

The space group is P4/mmm (No. 123) and the conventional cell measures 5.005, 5.005 and 5.653 Å, with angles of 90.00, 90.00 and 90.00 degrees. The asymmetric unit holds Ba at (0.000, 0.000, 0.000), Zn at (0.000, 0.000, 0.500), Ni at (0.000, 0.500, 0.000) and Bi at (0.500, 0.500, 0.500).


VASP calculation (PBE) on a relaxed BaNpBi2 crystal.

The calculation puts the spin magnetization at 4.40 μB/f.u. Its relative energy among the computed polymorphs is 54 meV per atom. Its total energy is -5.9405 eV per atom. For the energy relative to the elements, the calculation gives -1.14 eV/f.u.

The space group is P4/mmm (No. 123) and the conventional cell measures 3.901, 3.901 and 8.868 Å, with angles of 90.00, 90.00 and 90.00 degrees. The asymmetric unit holds Ba at (0.000, 0.000, 0.000), Np at (0.000, 0.000, 0.500) and Bi at (0.500, 0.500, 0.278).


VASP calculation (PBE) on a relaxed BaNpBi2 crystal.

The calculation puts the spin magnetization at 3.17 μB/f.u. Its relative energy among the computed polymorphs is 0 meV per atom. Its total energy is -5.9946 eV per atom. For the energy relative to the elements, the calculation gives -1.35 eV/f.u.

The space group is R-3m (No. 166, hexagonal axes) and the conventional cell measures 4.7310, 4.7310 and 24.0878 Å, with angles of 90.00, 90.00 and 120.00 degrees. The asymmetric unit holds Ba at (0.0000, 0.0000, 0.0000), Np at (0.0000, 0.0000, 0.5000) and Bi at (0.0000, 0.0000, 0.2362).


VASP calculation (PBE) on a relaxed BaNpBi2O8 crystal.

The calculation puts the spin magnetization at 0.00 μB/f.u. Its total energy is -7.1017 eV per atom. For the raw formation energy, the calculation gives -1.911 eV per atom.

The space group is C2/m (No. 12) and the conventional cell measures 8.002, 7.295 and 7.526 Å, with angles of 90.00, 95.82 and 90.00 degrees. The asymmetric unit holds Ba at (0.000, 0.000, 0.000), Np at (0.000, 0.000, 0.500), Bi at (0.021, 0.500, 0.235), O at (0.010, 0.193, 0.301), O at (0.169, 0.500, 0.014) and O at (0.245, 0.000, 0.541).